[1]
Computed, not measured: a relaxed structure of K2SbAs at the PBE level of DFT.

Cell lengths 6.914, 6.914, 6.914 Å; angles 146.06, 131.20, 60.77 degrees
Fractional positions:
As (0.287, 0.787, 0.500)
K (0.028, 0.028, 0.000)
Sb (0.441, 0.441, 0.000)
K (0.744, 0.244, 0.500)

Output
**Calculated density**: 3.320 g/cm3
**Energy relative to the elements, uncorrected**: -0.376 eV/atom
**ΔE to the lowest computed polymorph**: 0.039 eV per atom
**Total moment**: 0.0 μB per formula unit
**Uncorrected energy**: -3.118 eV per atom

[2]
Computed, not measured: a relaxed structure of K2SbAs at the PBE level of DFT.

Cell lengths 6.276, 6.276, 6.273 Å; angles 136.76, 136.76, 62.86 degrees
Fractional positions:
As (0.250, 0.750, 0.500)
K (0.500, 0.500, 0.000)
Sb (0.750, 0.250, 0.500)
K (0.000, 0.000, 0.000)

Output
**Calculated density**: 3.986 g/cm3
**Energy relative to the elements, uncorrected**: -0.207 eV/atom
**ΔE to the lowest computed polymorph**: 0.207 eV per atom
**Total moment**: 0.0 μB per formula unit
**Uncorrected energy**: -2.949 eV per atom

[3]
Computed, not measured: a relaxed structure of KSb3As at the PBE level of DFT.

Cell lengths 5.783, 5.783, 5.783 Å; angles 90.00, 90.00, 90.00 degrees
Each line ends with the local moment (μB).
Fractional positions:
Sb (0.000, 0.500, 0.000)  0.09
K (0.000, 0.000, 0.000)  0.07
As (0.500, 0.500, 0.500)  0.32
Sb (0.000, 0.000, 0.500)  0.06
Sb (0.500, 0.000, 0.000)  0.08

Output
**Calculated density**: 4.116 g/cm3
**Energy relative to the elements, uncorrected**: 1.586 eV/atom
**ΔE to the lowest computed polymorph**: 1.306 eV per atom
**Total moment**: 1.3 μB per formula unit
**Uncorrected energy**: -2.037 eV per atom

[4]
Computed, not measured: a relaxed structure of KScSbAs2 at the PBE level of DFT.

Cell lengths 5.428, 5.720, 5.428 Å; angles 90.00, 90.00, 90.00 degrees
Each line ends with the local moment (μB).
Fractional positions:
K (0.000, 0.500, 0.000)  0.01
As (0.500, 0.000, 0.000)  -0.02
Sb (0.000, 0.000, 0.000)  -0.01
As (0.000, 0.000, 0.500)  -0.02
Sc (0.500, 0.500, 0.500)  0.76

Output
**Calculated density**: 3.504 g/cm3
**Energy relative to the elements, uncorrected**: 0.719 eV/atom
**Total moment**: 1.1 μB per formula unit
**Uncorrected energy**: -3.451 eV per atom

[5]
Computed, not measured: a relaxed structure of KSbAs2Se at the PBE level of DFT.

Cell lengths 5.395, 5.395, 5.604 Å; angles 90.00, 90.00, 90.00 degrees
Each line ends with the local moment (μB).
Fractional positions:
As (0.000, 0.500, 0.000)  0.28
Se (0.000, 0.000, 0.500)  0.16
As (0.500, 0.000, 0.000)  0.28
K (0.500, 0.500, 0.500)  0.01
Sb (0.000, 0.000, 0.000)  -0.01

Output
**Calculated density**: 3.967 g/cm3
**Energy relative to the elements, uncorrected**: 0.226 eV/atom
**ΔE to the lowest computed polymorph**: 0.000 eV per atom
**Total moment**: 1.5 μB per formula unit
**Uncorrected energy**: -3.375 eV per atom

[6]
Computed, not measured: a relaxed structure of KSb2AsSe at the PBE level of DFT.

Cell lengths 5.435, 5.734, 5.435 Å; angles 90.00, 90.00, 90.00 degrees
Fractional positions:
As (0.500, 0.500, 0.500)
Se (0.000, 0.000, 0.000)
Sb (0.500, 0.000, 0.000)
Sb (0.000, 0.000, 0.500)
K (0.000, 0.500, 0.000)

Output
**Calculated density**: 4.279 g/cm3
**Energy relative to the elements, uncorrected**: 0.397 eV/atom
**Total moment**: 0.0 μB per formula unit
**Uncorrected energy**: -3.098 eV per atom

[7]
Computed, not measured: a relaxed structure of KSbAs2Se at the PBE level of DFT.

Cell lengths 5.389, 5.389, 5.466 Å; angles 90.00, 90.00, 90.00 degrees
Fractional positions:
Sb (0.500, 0.500, 0.500)
As (0.000, 0.500, 0.000)
As (0.500, 0.000, 0.000)
K (0.000, 0.000, 0.000)
Se (0.000, 0.000, 0.500)

Output
**Calculated density**: 4.077 g/cm3
**Energy relative to the elements, uncorrected**: 1.369 eV/atom
**ΔE to the lowest computed polymorph**: 1.143 eV per atom
**Total moment**: 0.0 μB per formula unit
**Uncorrected energy**: -2.232 eV per atom

[8]
Computed, not measured: a relaxed structure of KSbAsSe2 at the PBE level of DFT.

Cell lengths 5.526, 5.526, 5.343 Å; angles 90.00, 90.00, 90.00 degrees
Each line ends with the local moment (μB).
Fractional positions:
Se (0.000, 0.500, 0.000)  0.13
Se (0.500, 0.000, 0.000)  0.13
As (0.000, 0.000, 0.500)  0.02
Sb (0.500, 0.500, 0.500)  -0.02
K (0.000, 0.000, 0.000)  0.01

Output
**Calculated density**: 4.007 g/cm3
**Energy relative to the elements, uncorrected**: 1.181 eV/atom
**ΔE to the lowest computed polymorph**: 1.201 eV per atom
**Total moment**: 0.4 μB per formula unit
**Uncorrected energy**: -2.187 eV per atom